This record from Alexandria describes an optimized crystal structure of Co3Cu2O8. The functional is PBE with a Hubbard U.

It has space group C2/m (No. 12), with a = 10.188 Å, b = 5.639 Å, c = 4.885 Å, α = 90.00°, β = 111.48° and γ = 90.00°. The asymmetric unit holds Co at (0.000, 0.000, 0.000), Co at (0.000, 0.257, 0.500), Cu at (0.188, 0.500, 0.146), O at (0.104, 0.233, 0.257), O at (0.107, 0.000, 0.748) and O at (0.110, 0.500, 0.717).

The raw total energy is -0.202 hartree per atom. The calculation puts the calculated volume at 130.6 Å³/f.u.